# 1
AcScIn3 after structural relaxation, computed with PBE-GGA.

Values from the calculation:
The raw total energy is -40.960 eV for the cell shown. The total magnetization is 0.000 μB/atom. The calculation puts the formation energy from the elements at -365 meV/atom.

a = 15.046 Å, b = 15.046 Å, c = 4.954 Å
α = 90.00°, β = 90.00°, γ = 165.53°
Positions (direct):
Ac 0.079 0.921 0.750
Ac 0.921 0.079 0.250
Sc 0.213 0.787 0.250
Sc 0.787 0.213 0.750
In 0.311 0.689 0.250
In 0.370 0.630 0.750
In 0.474 0.526 0.750
In 0.526 0.474 0.250
In 0.630 0.370 0.250
In 0.689 0.311 0.750


# 2
AcSc2In after structural relaxation, computed with PBE-GGA.

Values from the calculation:
The raw total energy is -20.120 eV for the cell shown. The total magnetization is 0.000 μB/atom. The calculation puts the formation energy from the elements at -152 meV/atom. For the relative energy among the computed polymorphs, the calculation gives 0.0 meV/atom.

a = 3.596 Å, b = 3.596 Å, c = 8.585 Å
α = 90.00°, β = 90.00°, γ = 90.00°
Positions (direct):
Ac 0.000 0.000 0.000
Sc 0.500 0.500 0.291
Sc 0.500 0.500 0.709
In 0.000 0.000 0.500


# 3
Ac2ScIn after structural relaxation, computed with PBE-GGA.

Values from the calculation:
The raw total energy is -17.744 eV for the cell shown. The total magnetization is 0.000 μB/atom. The calculation puts the formation energy from the elements at -114 meV/atom. For the relative energy among the computed polymorphs, the calculation gives 7.4 meV/atom.

a = 4.198 Å, b = 4.198 Å, c = 7.840 Å
α = 90.00°, β = 90.00°, γ = 90.00°
Positions (direct):
Ac 0.000 0.000 0.244
Ac 0.000 0.000 0.756
Sc 0.500 0.500 0.500
In 0.500 0.500 0.000


> Look up the formation energy from the elements of the third one.

-114 meV/atom